1.
Density functional theory data (PBE) for a geometry-optimized LaP4Os structure.

a = 7.4572 Å, b = 7.4572 Å, c = 7.4572 Å
α = 90.00°, β = 90.00°, γ = 90.00°
Space group F-43m (No. 216)
One atom of each set of equivalent atoms:
La  0.0000  0.0000  0.0000 (multiplicity 4)
P  0.1135  0.1135  0.3865 (multiplicity 16)
Os  0.2500  0.2500  0.7500 (multiplicity 4)

## Properties
The final energy is -5.884 eV/atom. As for the mass density: 7256 kg/m³.

=====

2.
Density functional theory data (PBE) for a geometry-optimized LaPOs3 structure.

a = 4.8473 Å, b = 4.8473 Å, c = 4.8473 Å
α = 90.00°, β = 90.00°, γ = 90.00°
Space group Pm-3m (No. 221)
One atom of each set of equivalent atoms:
La  0.0000  0.0000  0.0000 (multiplicity 1)
P  0.5000  0.5000  0.5000 (multiplicity 1)
Os  0.0000  0.0000  0.5000 (multiplicity 3)

## Properties
The distance to the lowest polymorph of the same formula is 2.949 eV/atom. The final energy is -5.641 eV/atom. As for the mass density: 10797 kg/m³.

=====

3.
Density functional theory data (PBE) for a geometry-optimized LaP2Os2 structure.

a = 7.4613 Å, b = 7.4613 Å, c = 3.0124 Å
α = 90.00°, β = 90.00°, γ = 90.00°
Space group P4/mbm (No. 127)
One atom of each set of equivalent atoms:
La  0.0000  0.0000  0.0000 (multiplicity 2)
P  0.1439  0.3561  0.5000 (multiplicity 4)
Os  0.1312  0.6312  0.0000 (multiplicity 4)

## Properties
The final energy is -7.535 eV/atom. As for the mass density: 11512 kg/m³.

=====

4.
Density functional theory data (PBE) for a geometry-optimized LaPOs2 structure.

a = 3.1320 Å, b = 5.1165 Å, c = 8.7116 Å
α = 90.00°, β = 90.00°, γ = 90.00°
Space group Cmmm (No. 65)
One atom of each set of equivalent atoms:
La  0.0000  0.0000  0.0000 (multiplicity 2)
P  0.0000  0.0000  0.5000 (multiplicity 2)
Os  0.0000  0.5000  0.3039 (multiplicity 4)

## Properties
The final energy is -7.716 eV/atom. As for the mass density: 13092 kg/m³.

=====

5.
Density functional theory data (PBE) for a geometry-optimized LaPOs2 structure.

a = 5.7099 Å, b = 10.0051 Å, c = 2.8608 Å
α = 90.00°, β = 119.98°, γ = 90.00°
Space group C2/m (No. 12)
One atom of each set of equivalent atoms:
La  0.0000  0.0000  0.0000 (multiplicity 2)
P  0.0000  0.5000  0.0000 (multiplicity 2)
Os  0.2500  0.2500  0.5000 (multiplicity 4)

## Properties
The final energy is -7.749 eV/atom. As for the mass density: 12911 kg/m³.

=====

6.
Density functional theory data (PBE) for a geometry-optimized LaPOs2 structure.

a = 4.6854 Å, b = 3.6579 Å, c = 5.2557 Å
α = 90.00°, β = 90.22°, γ = 90.00°
Space group P2/m (No. 10)
One atom of each set of equivalent atoms:
La  0.0000  0.0000  0.0000 (multiplicity 1)
P  0.5000  0.0000  0.5000 (multiplicity 1)
Os  0.5001  0.5000  0.2332 (multiplicity 2)

## Properties
The final energy is -8.361 eV/atom. As for the mass density: 10146 kg/m³.